Entry from the Alexandria database: a relaxed structure of Ac8Ir5Pd (PBE-GGA).

Lattice parameters (Å, degrees): 8.099 8.099 8.099 109.29 109.29 109.84
Fractional coordinates of all 14 atoms:
Ac1 0.006 0.382 0.253
Ac2 0.126 0.259 0.747
Ac3 0.128 0.752 0.747
Ac4 0.248 0.994 0.376
Ac5 0.513 0.379 0.253
Ac6 0.618 0.872 0.624
Ac7 0.621 0.874 0.134
Ac8 0.741 0.487 0.866
Ir1 0.244 0.625 0.122
Ir2 0.375 0.497 0.618
Ir3 0.503 0.122 0.878
Ir4 0.750 0.250 0.500
Ir5 0.878 0.756 0.382
Pd1 0.000 0.000 0.000

Properties
The uncorrected energy comes out at -6.52 eV/atom. The calculation puts the formation energy at -0.640 eV per atom.

Entry from the Alexandria database: a relaxed structure of Sm4Co3Ge (PBE-GGA).

Lattice parameters (Å, degrees): 4.069 4.164 10.444 90.00 90.00 90.00
Fractional coordinates of all 8 atoms:
Sm1 0.000 0.000 0.000
Sm2 0.000 0.500 0.490
Sm3 0.500 0.000 0.713
Sm4 0.500 0.500 0.207
Co1 0.000 0.000 0.302
Co2 0.500 0.000 0.400
Co3 0.500 0.500 0.926
Ge1 0.000 0.500 0.789

Properties
The uncorrected energy comes out at -5.90 eV/atom. The calculation puts the formation energy at -0.297 eV per atom.

Entry from the Alexandria database: a relaxed structure of Ba3Hg5F12 (PBE-GGA).

Lattice parameters (Å, degrees): 12.961 12.961 12.961 109.47 109.47 109.47
Fractional coordinates of all 80 atoms:
Ba1 0.125 0.250 0.375
Ba2 0.125 0.375 0.750
Ba3 0.250 0.375 0.125
Ba4 0.250 0.875 0.625
Ba5 0.375 0.125 0.250
Ba6 0.375 0.750 0.125
Ba7 0.625 0.250 0.875
Ba8 0.625 0.875 0.750
Ba9 0.750 0.125 0.375
Ba10 0.750 0.625 0.875
Ba11 0.875 0.625 0.250
Ba12 0.875 0.750 0.625
Hg1 0.000 0.000 0.000
Hg2 0.000 0.000 0.500
Hg3 0.000 0.500 0.000
Hg4 0.000 0.500 0.500
Hg5 0.125 0.750 0.875
Hg6 0.125 0.875 0.250
Hg7 0.250 0.125 0.875
Hg8 0.250 0.625 0.375
Hg9 0.375 0.250 0.625
Hg10 0.375 0.625 0.750
Hg11 0.500 0.000 0.000
Hg12 0.500 0.000 0.500
Hg13 0.500 0.500 0.000
Hg14 0.500 0.500 0.500
Hg15 0.625 0.375 0.250
Hg16 0.625 0.750 0.375
Hg17 0.750 0.375 0.625
Hg18 0.750 0.875 0.125
Hg19 0.875 0.125 0.750
Hg20 0.875 0.250 0.125
F1 0.055 0.212 0.131
F2 0.055 0.343 0.923
F3 0.077 0.631 0.419
F4 0.077 0.945 0.657
F5 0.081 0.712 0.657
F6 0.081 0.869 0.423
F7 0.131 0.055 0.212
F8 0.131 0.577 0.919
F9 0.157 0.212 0.581
F10 0.157 0.445 0.577
F11 0.212 0.131 0.055
F12 0.212 0.581 0.157
F13 0.288 0.343 0.919
F14 0.288 0.445 0.369
F15 0.343 0.919 0.288
F16 0.343 0.923 0.055
F17 0.369 0.288 0.445
F18 0.369 0.581 0.923
F19 0.419 0.077 0.631
F20 0.419 0.843 0.788
F21 0.423 0.081 0.869
F22 0.423 0.843 0.555
F23 0.445 0.369 0.288
F24 0.445 0.577 0.157
F25 0.555 0.423 0.843
F26 0.555 0.631 0.712
F27 0.577 0.157 0.445
F28 0.577 0.919 0.131
F29 0.581 0.157 0.212
F30 0.581 0.923 0.369
F31 0.631 0.419 0.077
F32 0.631 0.712 0.555
F33 0.657 0.077 0.945
F34 0.657 0.081 0.712
F35 0.712 0.555 0.631
F36 0.712 0.657 0.081
F37 0.788 0.419 0.843
F38 0.788 0.869 0.945
F39 0.843 0.555 0.423
F40 0.843 0.788 0.419
F41 0.869 0.423 0.081
F42 0.869 0.945 0.788
F43 0.919 0.131 0.577
F44 0.919 0.288 0.343
F45 0.923 0.055 0.343
F46 0.923 0.369 0.581
F47 0.945 0.657 0.077
F48 0.945 0.788 0.869

Properties
The uncorrected energy comes out at -3.72 eV/atom. Its formation energy from raw total energies is -2.23 eV per atom.

Entry from the Alexandria database: a relaxed structure of NiHgIr2 (PBE-GGA).

Lattice parameters (Å, degrees): 2.846 4.683 9.239 90.00 90.00 90.00
Fractional coordinates of all 8 atoms:
Ni1 0.000 0.000 0.000
Ni2 0.500 0.500 0.500
Hg1 0.000 0.500 0.752
Hg2 0.500 0.000 0.252
Ir1 0.000 0.000 0.526
Ir2 0.000 0.500 0.269
Ir3 0.500 0.000 0.769
Ir4 0.500 0.500 0.026

Properties
The uncorrected energy comes out at -5.46 eV/atom. The calculation puts the formation energy at 0.491 eV per atom.

Entry from the Alexandria database: a relaxed structure of ScAl2Sb (PBE-GGA).

Lattice parameters (Å, degrees): 4.168 4.168 9.128 90.00 90.00 90.00
Fractional coordinates of all 8 atoms:
Sc1 0.000 0.000 0.000
Sc2 0.500 0.500 0.500
Al1 0.000 0.000 0.500
Al2 0.000 0.500 0.250
Al3 0.500 0.000 0.750
Al4 0.500 0.500 0.000
Sb1 0.000 0.500 0.750
Sb2 0.500 0.000 0.250

Properties
The uncorrected energy comes out at -4.83 eV/atom. Its formation energy from raw total energies is -0.34 eV per atom.

Entry from the Alexandria database: a relaxed structure of Pr3Ga2Pd3 (PBE-GGA).

Lattice parameters (Å, degrees): 7.924 15.737 5.854 90.00 90.00 90.00
Fractional coordinates of all 32 atoms:
Pr1 0.035 0.106 0.146
Pr2 0.035 0.394 0.146
Pr3 0.172 0.250 0.619
Pr4 0.328 0.750 0.119
Pr5 0.465 0.606 0.646
Pr6 0.465 0.894 0.646
Pr7 0.535 0.106 0.354
Pr8 0.535 0.394 0.354
Pr9 0.672 0.250 0.881
Pr10 0.828 0.750 0.381
Pr11 0.965 0.606 0.854
Pr12 0.965 0.894 0.854
Ga1 0.118 0.604 0.355
Ga2 0.118 0.896 0.355
Ga3 0.382 0.104 0.855
Ga4 0.382 0.396 0.855
Ga5 0.618 0.604 0.145
Ga6 0.618 0.896 0.145
Ga7 0.882 0.104 0.645
Ga8 0.882 0.396 0.645
Pd1 0.174 0.034 0.589
Pd2 0.174 0.466 0.589
Pd3 0.183 0.750 0.602
Pd4 0.317 0.250 0.102
Pd5 0.326 0.534 0.089
Pd6 0.326 0.966 0.089
Pd7 0.674 0.034 0.911
Pd8 0.674 0.466 0.911
Pd9 0.683 0.750 0.898
Pd10 0.817 0.250 0.398
Pd11 0.826 0.534 0.411
Pd12 0.826 0.966 0.411

Properties
For the energy above the most stable polymorph in this dataset, the calculation gives 0 meV per atom. The uncorrected energy comes out at -5.29 eV/atom. The calculation puts the formation energy at -0.796 eV per atom.